1.
Below is Th2CoCu after structural relaxation, with properties calculated at the PBE level.

## Properties
**Size of the total moment**: 0.000 μB per formula unit
**DOS at the Fermi energy**: 1.188 states/eV per atom
**Energy relative to the elements**: -0.085 eV per atom
**Calculated volume**: 21.829 Å³ per atom
**E above lowest polymorph**: 134 meV/atom
**ρ**: 11.15 g/cm3
**Total energy**: -6.60 eV per atom

Cell: 3.503 3.503 7.114 Å, 90.00 90.00 90.00°
Space group P4/mmm (No. 123)
Asymmetric unit:
Th 0.000 0.000 0.234 [2 per cell]
Co 0.500 0.500 0.000 [1 per cell]
Cu 0.500 0.500 0.500 [1 per cell]

---

2.
Below is BRhSCl2 after structural relaxation, with properties calculated at the PBE level.

## Properties
**Energy relative to the elements, uncorrected**: 0.84 eV per atom
**Size of the total moment**: 0.000 μB per formula unit
**DOS at the Fermi energy**: 0.600 states/eV per atom
**Calculated volume**: 21.672 Å³ per atom
**E above lowest polymorph**: 0 meV/atom
**ρ**: 3.32 g/cm3
**Total energy**: -3.53 eV per atom

Cell: 4.930 4.930 4.458 Å, 90.00 90.00 90.00°
Space group P4/mmm (No. 123)
Asymmetric unit:
B 0.000 0.000 0.000 [1 per cell]
Rh 0.500 0.500 0.500 [1 per cell]
S 0.500 0.500 0.000 [1 per cell]
Cl 0.000 0.500 0.500 [2 per cell]

---

3.
Below is Sm2Cu3Rh after structural relaxation, with properties calculated at the PBE level.

## Properties
**Size of the total moment**: 0.000 μB per formula unit
**DOS at the Fermi energy**: 0.604 states/eV per atom
**Energy relative to the elements**: -0.350 eV per atom
**Calculated volume**: 19.630 Å³ per atom
**E above lowest polymorph**: 0 meV/atom
**ρ**: 8.38 g/cm3
**Total energy**: -5.20 eV per atom

Cell: 7.433 8.609 14.725 Å, 90.00 90.00 90.00°
Space group Fmmm (No. 69)
Asymmetric unit:
Sm 0.245 0.000 0.000 [8 per cell]
Sm 0.250 0.250 0.250 [8 per cell]
Cu 0.000 0.000 0.335 [8 per cell]
Cu 0.000 0.243 0.418 [16 per cell]
Rh 0.000 0.000 0.163 [8 per cell]

---

4.
Below is Mn4W after structural relaxation, with properties calculated at the PBE level.

## Properties
**Size of the total moment**: 11.676 μB per formula unit
**DOS at the Fermi energy**: 1.196 states/eV per atom
**Energy relative to the elements**: 1.215 eV per atom
**Calculated volume**: 18.202 Å³ per atom
**ρ**: 7.36 g/cm3
**Total energy**: -8.71 eV per atom

Cell: 5.667 5.667 5.667 Å, 90.00 90.00 90.00°
Space group Im-3m (No. 229)
Asymmetric unit:
Mn 0.250 0.250 0.250 [8 per cell]
W 0.000 0.000 0.000 [2 per cell]

---

5.
Below is Ba2TeAs after structural relaxation, with properties calculated at the PBE level.

## Properties
**Energy relative to the elements, uncorrected**: -1.16 eV per atom
**Size of the total moment**: 0.858 μB per formula unit
**DOS at the Fermi energy**: 0.951 states/eV per atom
**Calculated volume**: 38.779 Å³ per atom
**E above lowest polymorph**: 69 meV/atom
**ρ**: 5.11 g/cm3
**Total energy**: -4.07 eV per atom

Cell: 5.383 4.406 13.080 Å, 90.00 90.00 90.00°
Space group Amm2 (No. 38)
Asymmetric unit:
Ba 0.000 0.000 0.000 [2 per cell]
Ba 0.500 0.000 0.245 [2 per cell]
Te 0.500 0.000 0.512 [2 per cell]
As 0.000 0.000 0.747 [2 per cell]

---

6.
Below is BeCd2InO after structural relaxation, with properties calculated at the PBE level.

## Properties
**Energy relative to the elements, uncorrected**: -0.69 eV per atom
**Size of the total moment**: 0.000 μB per formula unit
**DOS at the Fermi energy**: 0.175 states/eV per atom
**Calculated volume**: 21.456 Å³ per atom
**ρ**: 5.64 g/cm3
**Total energy**: -3.34 eV per atom

Cell: 6.113 6.113 2.870 Å, 90.00 90.00 90.00°
Space group P4/mmm (No. 123)
Asymmetric unit:
Be 0.000 0.000 0.000 [1 per cell]
Cd 0.000 0.500 0.500 [2 per cell]
In 0.500 0.500 0.000 [1 per cell]
O 0.000 0.000 0.500 [1 per cell]

---

7.
Below is TcAgP2S after structural relaxation, with properties calculated at the PBE level.

## Properties
**Energy relative to the elements, uncorrected**: 1.52 eV per atom
**Size of the total moment**: 2.957 μB per formula unit
**DOS at the Fermi energy**: 0.599 states/eV per atom
**Calculated volume**: 21.726 Å³ per atom
**E above lowest polymorph**: 966 meV/atom
**ρ**: 4.58 g/cm3
**Total energy**: -4.11 eV per atom

Cell: 4.749 4.749 4.816 Å, 90.00 90.00 90.00°
Space group P4/mmm (No. 123)
Asymmetric unit:
Tc 0.000 0.000 0.000 [1 per cell]
Ag 0.500 0.500 0.500 [1 per cell]
P 0.000 0.500 0.500 [2 per cell]
S 0.500 0.500 0.000 [1 per cell]

---

8.
Below is LaMgAs3 after structural relaxation, with properties calculated at the PBE level.

## Properties
**Size of the total moment**: 0.000 μB per formula unit
**DOS at the Fermi energy**: 0.739 states/eV per atom
**Energy relative to the elements**: -0.273 eV per atom
**Calculated volume**: 24.669 Å³ per atom
**E above lowest polymorph**: 0 meV/atom
**ρ**: 5.22 g/cm3
**Total energy**: -4.37 eV per atom

Cell: 4.978 4.978 4.978 Å, 90.00 90.00 90.00°
Space group Pm-3m (No. 221)
Asymmetric unit:
La 0.000 0.000 0.000 [1 per cell]
Mg 0.500 0.500 0.500 [1 per cell]
As 0.000 0.500 0.500 [3 per cell]

---

9.
Below is Ba2Cu3SnAu12 after structural relaxation, with properties calculated at the PBE level.

## Properties
**Size of the total moment**: 0.000 μB per formula unit
**DOS at the Fermi energy**: 0.347 states/eV per atom
**Energy relative to the elements**: -0.130 eV per atom
**Calculated volume**: 23.178 Å³ per atom
**ρ**: 11.73 g/cm3
**Total energy**: -3.43 eV per atom

Cell: 7.1445 7.1445 28.3135 Å, 90.00 90.00 120.00°
Space group R-3m (No. 166, hexagonal axes)
Asymmetric unit:
Ba 0.0000 0.0000 0.1486 [6 per cell]
Cu 0.0000 0.5000 0.0000 [9 per cell]
Sn 0.0000 0.0000 0.5000 [3 per cell]
Au 0.0440 0.5220 0.0937 [18 per cell]
Au 0.0645 0.5323 0.6239 [18 per cell]

---

10.
Below is TePb2O4 after structural relaxation, with properties calculated at the PBE level.

## Properties
**Energy relative to the elements, uncorrected**: -0.97 eV per atom
**Size of the total moment**: 0.000 μB per formula unit
**DOS at the Fermi energy**: 0.000 states/eV per atom
**Calculated volume**: 24.902 Å³ per atom
**E above lowest polymorph**: 13 meV/atom
**ρ**: 5.77 g/cm3
**Total energy**: -5.31 eV per atom

Cell: 7.534 5.446 8.672 Å, 90.00 101.58 90.00°
Space group P2_1/m (No. 11)
Asymmetric unit:
Te 0.147 0.250 0.311 [2 per cell]
Pb 0.186 0.750 0.028 [2 per cell]
Pb 0.392 0.750 0.604 [2 per cell]
O 0.025 0.001 0.169 [4 per cell]
O 0.350 0.250 0.208 [2 per cell]
O 0.393 0.250 0.530 [2 per cell]

---

11.
Below is TbY2Si after structural relaxation, with properties calculated at the PBE level.

## Properties
**Energy relative to the elements, uncorrected**: -0.16 eV per atom
**Size of the total moment**: 0.000 μB per formula unit
**DOS at the Fermi energy**: 1.415 states/eV per atom
**Calculated volume**: 29.094 Å³ per atom
**ρ**: 5.21 g/cm3
**Total energy**: -5.91 eV per atom

Cell: 3.6930 3.6930 29.5586 Å, 90.00 90.00 120.00°
Space group R-3m (No. 166, hexagonal axes)
Asymmetric unit:
Tb 0.0000 0.0000 0.0000 [3 per cell]
Y 0.0000 0.0000 0.2308 [6 per cell]
Si 0.0000 0.0000 0.5000 [3 per cell]

---

12.
Below is BaReAg2 after structural relaxation, with properties calculated at the PBE level.

## Properties
**Size of the total moment**: 0.000 μB per formula unit
**DOS at the Fermi energy**: 1.198 states/eV per atom
**Energy relative to the elements**: 0.835 eV per atom
**Calculated volume**: 21.518 Å³ per atom
**E above lowest polymorph**: 36 meV/atom
**ρ**: 10.40 g/cm3
**Total energy**: -4.18 eV per atom

Cell: 3.089 3.089 9.021 Å, 90.00 90.00 90.00°
Space group P4/mmm (No. 123)
Asymmetric unit:
Ba 0.000 0.000 0.000 [1 per cell]
Re 0.000 0.000 0.500 [1 per cell]
Ag 0.500 0.500 0.302 [2 per cell]